Crystalline GeHRu at its relaxed geometry. Source: Alexandria via LeMat-Bulk, functional PBE.

- ΔE to the lowest computed polymorph (kJ/mol of formula units) = 60.0
- Fermi-level density of states (states/eV per atom) = 0.767

a = 3.8772 Å, b = 3.8772 Å, c = 6.3205 Å
α = 90.00°, β = 90.00°, γ = 90.00°
Last column: nearest neighbours and their distance in Å.
Positions (direct):
1 Ge 0.2500 0.2500 0.2416  1 H 1.55
2 Ge 0.7500 0.7500 0.7584  1 H 1.55
3 H 0.2500 0.2500 0.4876  1 Ge 1.55
4 H 0.7500 0.7500 0.5124  1 Ge 1.55
5 Ru 0.2500 0.7500 0.0000  4 Ge 2.47, 4 Ru 2.74
6 Ru 0.7500 0.2500 0.0000  4 Ge 2.47, 4 Ru 2.74